8
Lattice="6.732 -0.818 -0.005 -0.835 6.770 -0.003 -2.946 -2.974 4.386" Properties=species:S:1:pos:R:3 comment="LiInPb2S4, optimized geometry, DFT GGA-PBE" formation_energy_uncorrected_ev_per_atom=-0.6522 final_energy_ev_per_atom=-4.22 space_group="C2 (5)" pbc="T T T"
Pb -0.416 3.387 3.838
S 1.162 4.656 1.318
S -1.757 -1.368 3.388
S 1.760 1.371 3.385
Li 2.949 2.976 1.898
Pb 0.001 0.001 1.572
In 3.369 -0.407 4.189
S 4.738 1.298 1.318